(1)
12
Lattice="3.217 0.000 0.000 -1.608 2.786 0.000 0.000 0.000 19.035" Properties=species:S:1:pos:R:3 comment="Hf3ZnN2 | OQMD | PBE | relaxed" total_energy_ev_per_atom=-9.165 pbc="T T T"
Hf 0.000 0.000 0.000
Hf 0.000 1.857 12.076
Hf 1.608 0.929 6.958
Hf 0.000 0.000 9.517
Hf 1.608 0.929 2.559
Hf 0.000 1.857 16.476
N 1.608 0.929 17.718
N 0.000 1.857 1.317
N 1.608 0.929 10.834
N 0.000 1.857 8.201
Zn 0.000 0.000 14.276
Zn 0.000 0.000 4.759

=====

(2)
8
Lattice="5.610 0.000 0.000 0.000 6.470 0.000 0.000 0.000 5.126" Properties=species:S:1:pos:R:3 comment="ZrSc | OQMD | PBE | relaxed" ef_kj_per_mol_fu=-4 pbc="T T T"
Zr 1.879 3.245 2.563
Zr 2.796 1.607 0.000
Zr 5.601 0.010 0.000
Zr 4.684 4.842 2.563
Sc 1.868 6.463 2.563
Sc 4.673 1.625 2.563
Sc 0.002 3.228 0.000
Sc 2.807 4.860 0.000

=====

(3)
9
Lattice="8.586 0.000 0.000 -4.293 7.435 0.000 0.000 0.000 3.777" Properties=species:S:1:pos:R:3 comment="Er3Te5Ir | OQMD | PBE | relaxed" de_polymorph_ev_per_fu=0.82 pbc="T T T"
Er 5.554 0.000 0.000
Er -2.777 4.810 0.000
Er 1.516 2.626 0.000
Te 3.292 5.702 1.889
Te 2.001 0.000 1.889
Te -1.001 1.733 1.889
Te 4.293 2.478 1.889
Te 0.000 4.957 1.889
Ir 0.000 0.000 0.000

=====

(4)
12
Lattice="0.000 4.431 7.286 4.069 0.000 7.286 4.069 4.431 0.000" Properties=species:S:1:pos:R:3 comment="BaTbCuSi3 | OQMD | PBE | relaxed" de_polymorph_ev_per_fu=0.00 pbc="T T T"
Cu 4.069 4.431 9.645
Cu 4.069 4.431 4.927
Ba 2.034 2.215 3.643
Ba 6.103 6.646 10.929
Si 4.069 4.431 2.306
Si 2.082 4.431 8.443
Si 4.069 4.431 12.266
Si 6.055 4.431 6.129
Si 6.055 4.431 8.443
Si 2.082 4.431 6.129
Tb 4.069 2.115 7.286
Tb 4.069 6.747 7.286

=====

(5)
8
Lattice="-0.548 -2.541 -1.531 -1.088 -3.379 5.994 -6.606 1.603 -0.296" Properties=species:S:1:pos:R:3 comment="AlPAuO | OQMD | PBE | relaxed" de_polymorph_ev_per_fu=0.00 pbc="T T T"
O -4.034 -3.189 3.762
O -6.734 -0.515 0.292
Au -3.295 -0.906 -0.290
Au -7.466 -2.800 4.344
P -6.387 -0.796 3.605
P -2.771 -0.625 2.029
Al -0.438 -1.112 2.001
Al -4.101 -1.429 3.839

=====

(6)
12
Lattice="2.085 -8.114 0.000 2.085 8.114 0.000 0.000 0.000 8.754" Properties=species:S:1:pos:R:3 comment="KCuTe2OsS | OQMD | PBE | relaxed" total_energy_ev_per_atom=-4.576 pbc="T T T"
S 2.085 1.289 6.565
S 2.085 -1.289 2.188
K 2.085 -4.140 6.565
K 2.085 4.140 2.188
Te 2.085 -6.461 0.609
Te 2.085 -6.461 3.768
Te 2.085 6.461 4.986
Te 2.085 6.461 8.145
Os 2.085 0.000 4.377
Os 2.085 0.000 0.000
Cu 2.085 -7.596 6.565
Cu 2.085 7.596 2.188